# 1
{"formula": "Pm5PrRu2", "functional": "PBE", "state": "optimized geometry", "formation_enthalpy_0k_ev_per_atom": 0.018, "dft_energy_ev_per_cell": -46.943, "cell": [[-2.4830, 4.3001, 5.4972], [2.4830, -4.3001, 5.4972], [2.4830, 4.3001, -5.4972]], "species": ["Pm", "Pm", "Pm", "Pm", "Pm", "Pr", "Ru", "Ru"], "fractional_positions": [[0.0000, 0.0000, 0.0000], [0.0306, 0.3368, 0.6938], [0.3570, 0.6632, 0.6938], [0.6430, 0.3368, 0.3062], [0.9694, 0.6632, 0.3062], [0.5000, 0.0000, 0.5000], [0.2669, 0.2669, 0.0000], [0.7331, 0.7331, 0.0000]]}

=====

# 2
{"formula": "Pm7PrRu2", "functional": "PBE", "state": "optimized geometry", "formation_enthalpy_0k_ev_per_atom": 0.049, "dft_energy_ev_per_cell": -56.094, "cell": [[4.3992, -7.2002, 0.0000], [4.3992, 7.2002, 0.0000], [0.0000, 0.0000, 5.5157]], "species": ["Pm", "Pm", "Pm", "Pm", "Pm", "Pm", "Pm", "Pr", "Ru", "Ru"], "fractional_positions": [[0.0000, 0.0000, 0.0000], [0.1732, 0.4429, 0.0000], [0.2047, 0.7953, 0.5000], [0.4429, 0.1732, 0.0000], [0.5571, 0.8268, 0.0000], [0.7953, 0.2047, 0.5000], [0.8268, 0.5571, 0.0000], [0.5000, 0.5000, 0.5000], [0.2017, 0.7983, 0.0000], [0.7983, 0.2017, 0.0000]]}

=====

# 3
{"formula": "PmPr4Ru2", "functional": "PBE", "state": "optimized geometry", "formation_enthalpy_0k_ev_per_atom": 0.008, "dft_energy_ev_per_cell": -42.361, "cell": [[2.4725, 1.4275, 10.0538], [-2.4725, 1.4275, 10.0538], [0.0000, -2.8550, 10.0538]], "species": ["Pm", "Pr", "Pr", "Pr", "Pr", "Ru", "Ru"], "fractional_positions": [[0.0000, 0.0000, 0.0000], [0.2011, 0.2011, 0.2011], [0.3998, 0.3998, 0.3998], [0.6002, 0.6002, 0.6002], [0.7989, 0.7989, 0.7989], [0.0980, 0.0980, 0.0980], [0.9020, 0.9020, 0.9020]]}

=====

# 4
{"formula": "Pm4PrRu", "functional": "PBE", "state": "optimized geometry", "formation_enthalpy_0k_ev_per_atom": -0.058, "dft_energy_ev_per_cell": -66.808, "cell": [[8.7917, -3.8005, 0.0000], [8.7917, 3.8005, 0.0000], [-2.1359, 0.0000, 5.7444]], "species": ["Pm", "Pm", "Pm", "Pm", "Pm", "Pm", "Pm", "Pm", "Pr", "Pr", "Ru", "Ru"], "fractional_positions": [[0.1431, 0.6322, 0.3877], [0.2076, 0.7924, 0.0000], [0.3305, 0.3305, 0.8308], [0.3678, 0.8569, 0.6123], [0.6322, 0.1431, 0.3877], [0.6695, 0.6695, 0.1692], [0.7924, 0.2076, 0.0000], [0.8569, 0.3678, 0.6123], [0.2002, 0.2002, 0.2000], [0.7998, 0.7998, 0.8000], [0.4994, 0.4994, 0.7411], [0.5006, 0.5006, 0.2589]]}

=====

# 5
{"formula": "Pm3Pr2Ru2", "functional": "PBE", "state": "optimized geometry", "formation_enthalpy_0k_ev_per_atom": -0.205, "dft_energy_ev_per_cell": -43.799, "cell": [[6.1956, -1.9715, 0.0000], [6.1956, 1.9715, 0.0000], [-3.8491, 0.0000, 8.1915]], "species": ["Pm", "Pm", "Pm", "Pr", "Pr", "Ru", "Ru"], "fractional_positions": [[0.0000, 0.0000, 0.0000], [0.1201, 0.1201, 0.4238], [0.8799, 0.8799, 0.5762], [0.3323, 0.3323, 0.1946], [0.6677, 0.6677, 0.8054], [0.3199, 0.3199, 0.7645], [0.6801, 0.6801, 0.2355]]}

=====

# 6
{"formula": "PmPrRu", "functional": "PBE", "state": "optimized geometry", "formation_enthalpy_0k_ev_per_atom": 0.002, "dft_energy_ev_per_cell": -18.800, "cell": [[4.7557, 0.0000, 0.0000], [-2.3778, 4.1185, 0.0000], [0.0000, 0.0000, 3.9317]], "species": ["Pm", "Pr", "Ru"], "fractional_positions": [[0.0000, 0.0000, 0.0000], [0.3333, 0.6667, 0.5505], [0.6667, 0.3333, 0.2634]]}

=====

# 7
{"formula": "Pm4PrRu2", "functional": "PBE", "state": "optimized geometry", "formation_enthalpy_0k_ev_per_atom": -0.093, "dft_energy_ev_per_cell": -85.972, "cell": [[6.7424, 0.0000, 0.0000], [-0.1710, 7.6793, 0.0000], [-1.2446, -2.0463, 8.0116]], "species": ["Pm", "Pm", "Pm", "Pm", "Pm", "Pm", "Pm", "Pm", "Pr", "Pr", "Ru", "Ru", "Ru", "Ru"], "fractional_positions": [[0.0000, 0.0000, 0.0000], [0.0029, 0.1908, 0.6802], [0.1355, 0.8289, 0.3545], [0.4805, 0.2424, 0.5363], [0.5145, 0.9178, 0.0808], [0.6536, 0.7890, 0.5910], [0.8194, 0.5237, 0.9424], [0.8926, 0.3474, 0.3040], [0.1872, 0.6413, 0.7105], [0.3897, 0.4042, 0.0898], [0.3201, 0.9778, 0.7372], [0.6578, 0.1487, 0.8729], [0.7194, 0.6610, 0.2447], [0.7651, 0.0290, 0.3861]]}

=====

# 8
{"formula": "PmPr4Ru2", "functional": "PBE", "state": "optimized geometry", "formation_enthalpy_0k_ev_per_atom": -0.081, "dft_energy_ev_per_cell": -85.975, "cell": [[8.0339, 0.0000, 0.0000], [0.0000, 6.7125, 0.0000], [-3.0973, 0.0000, 7.4438]], "species": ["Pm", "Pm", "Pr", "Pr", "Pr", "Pr", "Pr", "Pr", "Pr", "Pr", "Ru", "Ru", "Ru", "Ru"], "fractional_positions": [[0.1621, 0.2500, 0.0303], [0.8379, 0.7500, 0.9697], [0.0219, 0.2500, 0.3763], [0.2383, 0.7500, 0.3193], [0.4128, 0.0031, 0.7579], [0.4128, 0.4969, 0.7579], [0.5872, 0.5031, 0.2421], [0.5872, 0.9969, 0.2421], [0.7617, 0.2500, 0.6807], [0.9781, 0.7500, 0.6237], [0.2540, 0.7500, 0.9846], [0.3705, 0.2500, 0.4055], [0.6295, 0.7500, 0.5945], [0.7460, 0.2500, 0.0154]]}

=====

# 9
{"formula": "Pm4PrRu", "functional": "PBE", "state": "optimized geometry", "formation_enthalpy_0k_ev_per_atom": 0.226, "dft_energy_ev_per_cell": -31.704, "cell": [[4.8423, 0.0000, 0.0000], [0.0000, 4.8423, 0.0000], [0.0000, 0.0000, 9.0562]], "species": ["Pm", "Pm", "Pm", "Pm", "Pr", "Ru"], "fractional_positions": [[0.0000, 0.5000, 0.1868], [0.0000, 0.5000, 0.8132], [0.5000, 0.0000, 0.1868], [0.5000, 0.0000, 0.8132], [0.0000, 0.0000, 0.5000], [0.5000, 0.5000, 0.0000]]}

=====

# 10
{"formula": "PmPr12Ru7", "functional": "PBE", "state": "optimized geometry", "formation_enthalpy_0k_ev_per_atom": -0.057, "dft_energy_ev_per_cell": -128.183, "cell": [[7.2672, 4.1957, 3.3371], [-7.2672, 4.1957, 3.3371], [0.0000, -8.3914, 3.3371]], "species": ["Pm", "Pr", "Pr", "Pr", "Pr", "Pr", "Pr", "Pr", "Pr", "Pr", "Pr", "Pr", "Pr", "Ru", "Ru", "Ru", "Ru", "Ru", "Ru", "Ru"], "fractional_positions": [[0.0000, 0.0000, 0.0000], [0.0766, 0.6913, 0.2270], [0.1558, 0.3785, 0.4549], [0.2270, 0.0766, 0.6913], [0.3087, 0.7730, 0.9234], [0.3785, 0.4549, 0.1558], [0.4549, 0.1558, 0.3785], [0.5451, 0.8442, 0.6215], [0.6215, 0.5451, 0.8442], [0.6913, 0.2270, 0.0766], [0.7730, 0.9234, 0.3087], [0.8442, 0.6215, 0.5451], [0.9234, 0.3087, 0.7730], [0.0262, 0.3568, 0.1218], [0.1218, 0.0262, 0.3568], [0.3568, 0.1218, 0.0262], [0.5000, 0.5000, 0.5000], [0.6432, 0.8782, 0.9738], [0.8782, 0.9738, 0.6432], [0.9738, 0.6432, 0.8782]]}

=====

# 11
{"formula": "PmPrRu2", "functional": "PBE", "state": "optimized geometry", "formation_enthalpy_0k_ev_per_atom": -0.059, "dft_energy_ev_per_cell": -28.318, "cell": [[3.5131, 0.0000, 0.0000], [0.0000, 3.5131, 0.0000], [0.0000, 0.0000, 7.0263]], "species": ["Pm", "Pr", "Ru", "Ru"], "fractional_positions": [[0.0000, 0.0000, 0.0000], [0.0000, 0.0000, 0.5000], [0.5000, 0.5000, 0.2466], [0.5000, 0.5000, 0.7534]]}

=====

# 12
{"formula": "PmPrRu", "functional": "PBE", "state": "optimized geometry", "formation_enthalpy_0k_ev_per_atom": -0.145, "dft_energy_ev_per_cell": -38.480, "cell": [[3.5138, 0.0000, 0.0000], [-0.0056, 6.9764, 0.0000], [-1.7478, -1.7404, 6.8646]], "species": ["Pm", "Pm", "Pr", "Pr", "Ru", "Ru"], "fractional_positions": [[0.1229, 0.0608, 0.2468], [0.8771, 0.9392, 0.7532], [0.1251, 0.5632, 0.2513], [0.8749, 0.4368, 0.7487], [0.5003, 0.2467, 0.0006], [0.4997, 0.7533, 0.9994]]}

=====

# 13
{"formula": "Pm3Pr3Tl2Ru", "functional": "PBE", "state": "optimized geometry", "formation_enthalpy_0k_ev_per_atom": -0.276, "dft_energy_ev_per_cell": -45.079, "cell": [[8.9302, 0.0000, 0.0000], [-4.4651, 7.7338, 0.0000], [0.0000, 0.0000, 3.9458]], "species": ["Pm", "Pm", "Pm", "Pr", "Pr", "Pr", "Tl", "Tl", "Ru"], "fractional_positions": [[0.0000, 0.7636, 0.0000], [0.2364, 0.2364, 0.0000], [0.7636, 0.0000, 0.0000], [0.0000, 0.3960, 0.5000], [0.3960, 0.0000, 0.5000], [0.6040, 0.6040, 0.5000], [0.3333, 0.6667, 0.0000], [0.6667, 0.3333, 0.0000], [0.0000, 0.0000, 0.5000]]}

=====

# 14
{"formula": "PmPrTmRu", "functional": "PBE", "state": "optimized geometry", "formation_enthalpy_0k_ev_per_atom": 0.182, "dft_energy_ev_per_cell": -22.550, "cell": [[0.0000, 3.7227, 3.7227], [3.7227, 0.0000, 3.7227], [3.7227, 3.7227, 0.0000]], "species": ["Pm", "Pr", "Tm", "Ru"], "fractional_positions": [[0.0000, 0.0000, 0.0000], [0.5000, 0.5000, 0.5000], [0.7500, 0.7500, 0.7500], [0.2500, 0.2500, 0.2500]]}

=====

# 15
{"formula": "PmPrZnRu", "functional": "PBE", "state": "optimized geometry", "formation_enthalpy_0k_ev_per_atom": -0.211, "dft_energy_ev_per_cell": -20.922, "cell": [[0.0000, 3.5966, 3.5966], [3.5966, 0.0000, 3.5966], [3.5966, 3.5966, 0.0000]], "species": ["Pm", "Pr", "Zn", "Ru"], "fractional_positions": [[0.0000, 0.0000, 0.0000], [0.5000, 0.5000, 0.5000], [0.2500, 0.2500, 0.2500], [0.7500, 0.7500, 0.7500]]}

=====

# 16
{"formula": "PmPrZnRu", "functional": "PBE", "state": "optimized geometry", "formation_enthalpy_0k_ev_per_atom": -0.235, "dft_energy_ev_per_cell": -21.020, "cell": [[4.3663, 0.0000, 0.0000], [0.0000, 2.0555, 5.4299], [0.0000, -2.0555, 5.4299]], "species": ["Pm", "Pr", "Zn", "Ru"], "fractional_positions": [[0.0000, 0.0000, 0.0000], [0.5000, 0.7204, 0.7204], [0.0000, 0.2955, 0.2955], [0.5000, 0.4342, 0.4342]]}

=====

# 17
{"formula": "PmPrS3", "functional": "PBE", "state": "optimized geometry", "formation_energy_uncorrected_ev_per_atom": -2.0731, "dft_energy_ev_per_cell": -129.113, "cell": [[7.5108, 0.0000, 0.0000], [0.0000, 4.0679, 0.0000], [0.0000, 0.0000, 15.6659]], "species": ["Pm", "Pm", "Pm", "Pm", "Pr", "Pr", "Pr", "Pr", "S", "S", "S", "S", "S", "S", "S", "S", "S", "S", "S", "S"], "fractional_positions": [[0.2342, 0.2500, 0.0439], [0.2658, 0.7500, 0.5439], [0.7342, 0.2500, 0.4561], [0.7658, 0.7500, 0.9561], [0.1447, 0.7500, 0.2968], [0.3553, 0.2500, 0.7968], [0.6447, 0.7500, 0.2032], [0.8553, 0.2500, 0.7032], [0.0107, 0.7500, 0.1076], [0.1257, 0.2500, 0.4346], [0.1464, 0.7500, 0.7177], [0.3536, 0.2500, 0.2177], [0.3743, 0.7500, 0.9346], [0.4893, 0.2500, 0.6076], [0.5107, 0.7500, 0.3924], [0.6257, 0.2500, 0.0654], [0.6464, 0.7500, 0.7823], [0.8536, 0.2500, 0.2823], [0.8743, 0.7500, 0.5654], [0.9893, 0.2500, 0.8924]]}

=====

# 18
{"formula": "Pm4PrS7", "functional": "PBE", "state": "optimized geometry", "formation_energy_uncorrected_ev_per_atom": -2.0516, "dft_energy_ev_per_cell": -77.293, "cell": [[6.6813, -1.9685, 0.0000], [6.6813, 1.9685, 0.0000], [-3.0426, 0.0000, 11.5209]], "species": ["Pm", "Pm", "Pm", "Pm", "Pr", "S", "S", "S", "S", "S", "S", "S"], "fractional_positions": [[0.0000, 0.0000, 0.0000], [0.1888, 0.1888, 0.7688], [0.5881, 0.5881, 0.3931], [0.8887, 0.8887, 0.5817], [0.7767, 0.7767, 0.1605], [0.1449, 0.1449, 0.2299], [0.2297, 0.2297, 0.5304], [0.3898, 0.3898, 0.0786], [0.5477, 0.5477, 0.6315], [0.6274, 0.6274, 0.9300], [0.8446, 0.8446, 0.7957], [0.9328, 0.9328, 0.3681]]}

=====

# 19
{"formula": "PmPr3S4", "functional": "PBE", "state": "optimized geometry", "formation_energy_uncorrected_ev_per_atom": -2.0265, "dft_energy_ev_per_cell": -103.622, "cell": [[7.1078, 0.0000, 0.0000], [0.0000, 8.1119, 0.0000], [-2.3574, 0.0000, 6.6995]], "species": ["Pm", "Pm", "Pr", "Pr", "Pr", "Pr", "Pr", "Pr", "S", "S", "S", "S", "S", "S", "S", "S"], "fractional_positions": [[0.0000, 0.1252, 0.2500], [0.0000, 0.8748, 0.7500], [0.0000, 0.3752, 0.7500], [0.0000, 0.6248, 0.2500], [0.5000, 0.1254, 0.7500], [0.5000, 0.3754, 0.2500], [0.5000, 0.6246, 0.7500], [0.5000, 0.8746, 0.2500], [0.2456, 0.1227, 0.0001], [0.2456, 0.8773, 0.5001], [0.2476, 0.3727, 0.4977], [0.2476, 0.6273, 0.9977], [0.7524, 0.3727, 0.0023], [0.7524, 0.6273, 0.5023], [0.7544, 0.1227, 0.4999], [0.7544, 0.8773, 0.9999]]}

=====

# 20
{"formula": "PmPr5S6", "functional": "PBE", "state": "optimized geometry", "formation_energy_uncorrected_ev_per_atom": -2.0260, "dft_energy_ev_per_cell": -77.725, "cell": [[3.5436, -6.1551, 0.0000], [3.5436, 6.1551, 0.0000], [-2.3871, 0.0000, 6.6698]], "species": ["Pm", "Pr", "Pr", "Pr", "Pr", "Pr", "S", "S", "S", "S", "S", "S"], "fractional_positions": [[0.0000, 0.0000, 0.0000], [0.1682, 0.8318, 0.5000], [0.3330, 0.6670, 0.0000], [0.5000, 0.5000, 0.5000], [0.6670, 0.3330, 0.0000], [0.8318, 0.1682, 0.5000], [0.0826, 0.4121, 0.2474], [0.2469, 0.2469, 0.7513], [0.4121, 0.0826, 0.2474], [0.5879, 0.9174, 0.7526], [0.7531, 0.7531, 0.2487], [0.9174, 0.5879, 0.7526]]}